The following is a PBE calculation of crystalline PrErNi at its relaxed geometry, from the Alexandria database.

Values from the calculation:
The value obtained for the distance to the lowest polymorph of the same formula is 0.126 eV/atom. The value obtained for the formation energy is -34 kJ/mol of formula units. Its space-group type is P3m1, No. 156.

a = 3.942 Å, b = 3.942 Å, c = 6.274 Å
α = 90.00°, β = 90.00°, γ = 120.00°
Positions (direct):
Er1 0.333 0.667 0.573
Ni1 0.667 0.333 0.345
Pr1 0.000 0.000 0.082

---

The following is a PBE calculation of crystalline Pm8Ir3SBr4 at its relaxed geometry, from the Alexandria database.

Values from the calculation:
Its space-group type is R-3m, No. 166. The value obtained for the raw formation energy is -1.206 eV per atom.

a = 8.350 Å, b = 9.023 Å, c = 8.350 Å
α = 117.57°, β = 120.00°, γ = 90.00°
Positions (direct):
Br1 0.000 0.000 0.500
Br2 0.000 0.000 0.000
Br3 0.500 0.000 0.500
Br4 0.500 0.000 0.000
Pm1 0.761 0.304 0.523
Pm2 0.281 0.304 0.042
Pm3 0.761 0.304 0.042
Pm4 0.239 0.696 0.958
Pm5 0.239 0.696 0.477
Pm6 0.269 0.306 0.537
Pm7 0.731 0.694 0.463
Pm8 0.719 0.696 0.958
Ir1 0.000 0.500 0.500
Ir2 0.500 0.500 0.000
Ir3 0.500 0.500 0.500
S1 0.000 0.500 0.000

---

The following is a PBE calculation of crystalline Ca2CuGe3Pt4 at its relaxed geometry, from the Alexandria database.

Values from the calculation:
The value obtained for the formation energy is -716 kJ/mol of formula units. Its space-group type is P-4m2, No. 115.

a = 4.221 Å, b = 4.221 Å, c = 10.584 Å
α = 90.00°, β = 90.00°, γ = 90.00°
Positions (direct):
Ca1 0.000 0.500 0.742
Ca2 0.500 0.000 0.258
Ge1 0.000 0.000 0.500
Ge2 0.500 0.000 0.866
Ge3 0.000 0.500 0.134
Pt1 0.000 0.500 0.365
Pt2 0.500 0.500 0.000
Pt3 0.500 0.000 0.635
Pt4 0.000 0.000 0.000
Cu1 0.500 0.500 0.500

---

The following is a PBE calculation of crystalline Ni2Os at its relaxed geometry, from the Alexandria database.

Values from the calculation:
The value obtained for the distance to the lowest polymorph of the same formula is 0.176 eV/atom. The value obtained for the formation energy is 69 kJ/mol of formula units. Its space-group type is P-62m, No. 189.

a = 7.086 Å, b = 7.086 Å, c = 2.558 Å
α = 90.00°, β = 90.00°, γ = 120.00°
Positions (direct):
Ni1 0.302 0.000 0.000
Ni2 0.367 0.367 0.500
Ni3 0.000 0.633 0.500
Ni4 0.000 0.302 0.000
Ni5 0.698 0.698 0.000
Ni6 0.633 0.000 0.500
Os1 0.667 0.333 0.000
Os2 0.333 0.667 0.000
Os3 0.000 0.000 0.500

---

The following is a PBE calculation of crystalline RbSrTeSe2 at its relaxed geometry, from the Alexandria database.

Values from the calculation:
Its space-group type is P2/c, No. 13. The value obtained for the raw formation energy is -1.090 eV per atom.

a = 5.011 Å, b = 8.027 Å, c = 9.197 Å
α = 97.41°, β = 90.00°, γ = 90.00°
Positions (direct):
Rb1 0.113 0.500 0.750
Rb2 0.887 0.500 0.250
Sr1 0.508 0.000 0.750
Sr2 0.492 0.000 0.250
Se1 0.615 0.743 0.974
Se2 0.385 0.257 0.026
Se3 0.385 0.743 0.474
Se4 0.615 0.257 0.526
Te1 0.000 0.000 0.500
Te2 0.000 0.000 0.000

---

The following is a PBE calculation of crystalline LaTcBr2 at its relaxed geometry, from the Alexandria database.

Values from the calculation:
The value obtained for the distance to the lowest polymorph of the same formula is 0.544 eV/atom. Its space-group type is R-3m, No. 166. The value obtained for the raw formation energy is -0.018 eV per atom.

a = 9.224 Å, b = 9.224 Å, c = 9.224 Å
α = 22.62°, β = 22.62°, γ = 22.62°
Last column: magnetic moment on the atom in μB.
Positions (direct):
La1 0.250 0.250 0.250  0.09
Br1 0.003 0.003 0.003  0.05
Br2 0.497 0.497 0.497  0.05
Tc1 0.750 0.750 0.750  3.20

---

The following is a PBE calculation of crystalline CsK2LiAg at its relaxed geometry, from the Alexandria database.

Values from the calculation:
The value obtained for the formation energy is 47 kJ/mol of formula units. Its space-group type is P4/mmm, No. 123.

a = 6.816 Å, b = 5.600 Å, c = 6.816 Å
α = 90.00°, β = 90.00°, γ = 90.00°
Positions (direct):
Ag1 0.000 0.000 0.000
K1 0.000 0.000 0.500
K2 0.500 0.000 0.000
Cs1 0.500 0.500 0.500
Li1 0.000 0.500 0.000

---

The following is a PBE calculation of crystalline BaC3 at its relaxed geometry, from the Alexandria database.

Values from the calculation:
The value obtained for the distance to the lowest polymorph of the same formula is 1.944 eV/atom. The value obtained for the formation energy is 853 kJ/mol of formula units. Its space-group type is P6_3/mmc, No. 194.

a = 5.701 Å, b = 5.701 Å, c = 8.950 Å
α = 90.00°, β = 90.00°, γ = 120.00°
Positions (direct):
Ba1 0.000 0.000 0.500
Ba2 0.333 0.667 0.250
Ba3 0.667 0.333 0.750
Ba4 0.000 0.000 0.000
C1 0.752 0.248 0.250
C2 0.500 0.000 0.000
C3 0.495 0.248 0.250
C4 0.000 0.500 0.500
C5 0.248 0.495 0.750
C6 0.752 0.505 0.250
C7 0.248 0.752 0.750
C8 0.500 0.000 0.500
C9 0.500 0.500 0.000
C10 0.500 0.500 0.500
C11 0.000 0.500 0.000
C12 0.505 0.752 0.750

---

The following is a PBE calculation of crystalline Li3AgSe at its relaxed geometry, from the Alexandria database.

Values from the calculation:
The value obtained for the distance to the lowest polymorph of the same formula is 0.000 eV/atom. Its space-group type is Pm-3m, No. 221. The value obtained for the raw formation energy is -0.566 eV per atom.

a = 4.842 Å, b = 4.842 Å, c = 4.842 Å
α = 90.00°, β = 90.00°, γ = 90.00°
Positions (direct):
Li1 0.000 0.000 0.500
Li2 0.000 0.500 0.000
Li3 0.500 0.000 0.000
Ag1 0.500 0.500 0.500
Se1 0.000 0.000 0.000

---

The following is a PBE calculation of crystalline La4Sn2I3 at its relaxed geometry, from the Alexandria database.

Values from the calculation:
The value obtained for the distance to the lowest polymorph of the same formula is 0.193 eV/atom. Its space-group type is C2/c, No. 15. The value obtained for the raw formation energy is -0.924 eV per atom.

a = 6.551 Å, b = 10.296 Å, c = 10.295 Å
α = 69.96°, β = 90.71°, γ = 90.71°
Positions (direct):
La1 0.533 0.053 0.762
La2 0.033 0.762 0.053
La3 0.110 0.818 0.580
La4 0.967 0.238 0.947
La5 0.390 0.420 0.182
La6 0.890 0.182 0.420
La7 0.610 0.580 0.818
La8 0.467 0.947 0.238
I1 0.967 0.974 0.237
I2 0.750 0.374 0.625
I3 0.033 0.026 0.763
I4 0.533 0.763 0.026
I5 0.467 0.237 0.974
I6 0.250 0.626 0.375
Sn1 0.890 0.438 0.132
Sn2 0.390 0.132 0.438
Sn3 0.610 0.868 0.562
Sn4 0.110 0.562 0.868

---

The following is a PBE calculation of crystalline VGaPtI2 at its relaxed geometry, from the Alexandria database.

Values from the calculation:
Its space-group type is P4/mmm, No. 123. The value obtained for the raw formation energy is 0.471 eV per atom.

a = 5.649 Å, b = 4.883 Å, c = 5.649 Å
α = 90.00°, β = 90.00°, γ = 90.00°
Last column: magnetic moment on the atom in μB.
Positions (direct):
I1 0.000 0.000 0.500  0.00
I2 0.500 0.000 0.000  0.01
V1 0.000 0.500 0.000  2.85
Pt1 0.000 0.000 0.000  -0.07
Ga1 0.500 0.500 0.500  0.06

---

The following is a PBE calculation of crystalline Ag2HO at its relaxed geometry, from the Alexandria database.

Values from the calculation:
The value obtained for the distance to the lowest polymorph of the same formula is 0.000 eV/atom. Its space-group type is C2/c, No. 15.

a = 2.956 Å, b = 5.985 Å, c = 6.146 Å
α = 103.88°, β = 103.91°, γ = 90.00°
Positions (direct):
O1 0.137 0.750 0.000
O2 0.863 0.250 0.000
Ag1 0.844 0.418 0.673
Ag2 0.156 0.582 0.327
Ag3 0.171 0.082 0.327
Ag4 0.829 0.918 0.673
H1 0.531 0.250 0.000
H2 0.469 0.750 0.000

---

Number 1: calculated total energy -0.379 Ry per atom. Number 2: calculated total energy -0.435 Ry per atom. Number 3: calculated total energy -0.394 Ry per atom. Number 4: calculated total energy -0.541 Ry per atom. Number 5: calculated total energy -0.268 Ry per atom. Number 6: calculated total energy -0.344 Ry per atom. Number 7: calculated total energy -0.108 Ry per atom. Number 8: calculated total energy -0.381 Ry per atom. Number 9: calculated total energy -0.219 Ry per atom. Number 10: calculated total energy -0.332 Ry per atom. Number 11: calculated total energy -0.278 Ry per atom. Number 12: calculated total energy -0.285 Ry per atom.